Compound: K3MnTe2O9
Source: the Alexandria database
Functional: PBE with a Hubbard U
Structure: relaxed

Total energy in eV per cell: -80.6
D(E_F) in states/eV/cell: 7.37
Symmetry: P-3m1 (164)
Magnetic moment in μB/atom: 0.279
Volume in Å³ per cell: 195.6

```
K3MnTe2O9
1.0
-3.836 2.211 3.568
-1.714 -3.031 -4.495
0.218 -5.828 3.846
O Te K Mn
9 2 3 1
Cartesian
-1.918 1.106 1.784
-3.326 -2.607 4.778
-2.005 -4.041 -1.859
-1.170 -2.564 0.331
-1.457 -3.684 3.039
-3.874 -2.964 -0.121
-4.162 -4.083 2.588
-2.775 -0.410 -0.464
-0.857 -1.515 -2.248
-2.383 -2.307 -1.132
-2.949 -4.341 4.051
-3.055 -1.503 2.178
-2.277 -5.144 0.740
0.000 0.000 0.000
0.109 -2.914 1.923
```